1.
A relaxed ZnRePd crystal, computed with GGA-PBE.

Lattice parameters (Å, degrees): 2.763 2.763 20.003 90.00 90.00 120.00
Positions (direct):
Re 0.000 0.000 0.198
Re 0.333 0.667 0.864
Re 0.667 0.333 0.531
Zn 0.000 0.000 0.977
Zn 0.333 0.667 0.644
Zn 0.667 0.333 0.311
Pd 0.000 0.000 0.419
Pd 0.333 0.667 0.086
Pd 0.667 0.333 0.752

Results
DFT formation energy = 0.7 kJ per mole of atoms
total magnetization = 0.000 μB/atom
DFT total energy = -0.2314 Ha/atom
energy above the most stable polymorph in this dataset = 0.0020 eV/atom
volume = 14.694 Å³/atom

2.
A relaxed LiDyCdRh crystal, computed with GGA-PBE.

Lattice parameters (Å, degrees): 4.760 4.760 4.760 60.00 60.00 60.00
Positions (direct):
Cd 0.750 0.750 0.750
Rh 0.500 0.500 0.500
Li 0.000 0.000 0.000
Dy 0.250 0.250 0.250

Results
DFT formation energy = -42.0 kJ per mole of atoms
total magnetization = 0.000 μB/atom
DFT total energy = -0.1518 Ha/atom
volume = 19.069 Å³/atom

3.
A relaxed Dy2NiBr crystal, computed with GGA-PBE.

Lattice parameters (Å, degrees): 3.937 3.937 7.928 75.62 75.62 60.00
Positions (direct):
Dy 0.063 0.063 0.811
Dy 0.272 0.272 0.185
Ni 0.667 0.667 0.998
Br 0.498 0.498 0.505

Results
formation energy from raw total energies = -77.5 kJ per mole of atoms
total magnetization = 0.000 μB/atom
DFT total energy = -0.1826 Ha/atom
energy above the most stable polymorph in this dataset = 0.0172 eV/atom
volume = 25.486 Å³/atom